DFT (PBE) results for ZnRe2Cl after structural relaxation.

Cell: 2.825 2.825 25.944 Å, 90.00 90.00 120.00°
Positions (direct):
Zn 0.000 0.000 0.000
Zn 0.333 0.667 0.667
Zn 0.667 0.333 0.333
Re 0.000 0.000 0.249
Re 0.000 0.000 0.751
Re 0.333 0.667 0.418
Re 0.333 0.667 0.915
Re 0.667 0.333 0.085
Re 0.667 0.333 0.582
Cl 0.000 0.000 0.500
Cl 0.333 0.667 0.167
Cl 0.667 0.333 0.833

Output
- Volume: 179.3 Å³ per cell
- Energy relative to the lowest polymorph listed for this composition: 0.6538 eV/atom
- Uncorrected formation energy: 0.73 eV/atom